Entry 1:
LaTi3Si: optimized geometry, PBE.

Values from the calculation:
- symmetry = Pm-3m (221)
- ΔE to the lowest computed polymorph (meV per atom) = 0
- raw formation energy (eV/atom) = 0.18

The structure in CIF format:
```
data_LaTi3Si
_chemical_formula_sum 'La1 Ti3 Si1'
_space_group_name_H-M_alt 'P 1'
_space_group_IT_number 1
_space_group_name_Hall 'P 1'
_cell_length_a 4.8065
_cell_length_b 4.8065
_cell_length_c 4.8065
_cell_angle_alpha 90.00
_cell_angle_beta 90.00
_cell_angle_gamma 90.00
loop_
_atom_site_label
_atom_site_fract_x
_atom_site_fract_y
_atom_site_fract_z
La1 0.0000 0.0000 0.0000
Ti1 0.0000 0.5000 0.5000
Ti2 0.5000 0.0000 0.5000
Ti3 0.5000 0.5000 0.0000
Si1 0.5000 0.5000 0.5000
```

Entry 2:
YSnRh: optimized geometry, PBE.

Values from the calculation:
- symmetry = P-6m2 (187)
- calculated formation energy (eV per atom) = -0.7684

The structure in CIF format:
```
data_YSnRh
_chemical_formula_sum 'Y1 Sn1 Rh1'
_space_group_name_H-M_alt 'P 1'
_space_group_IT_number 1
_space_group_name_Hall 'P 1'
_cell_length_a 4.6672
_cell_length_b 4.6672
_cell_length_c 3.4430
_cell_angle_alpha 90.00
_cell_angle_beta 90.00
_cell_angle_gamma 120.00
loop_
_atom_site_label
_atom_site_fract_x
_atom_site_fract_y
_atom_site_fract_z
Y1 0.0000 0.0000 0.0000
Sn1 0.6667 0.3333 0.5000
Rh1 0.3333 0.6667 0.5000
```

Entry 3:
NaSr8Au2: optimized geometry, PBE.

Values from the calculation:
- symmetry = C2/m (12)
- calculated formation energy (eV per atom) = -0.2683

The structure in CIF format:
```
data_NaSr8Au2
_chemical_formula_sum 'Na1 Sr8 Au2'
_space_group_name_H-M_alt 'P 1'
_space_group_IT_number 1
_space_group_name_Hall 'P 1'
_cell_length_a 9.7182
_cell_length_b 9.7182
_cell_length_c 7.2085
_cell_angle_alpha 97.43
_cell_angle_beta 97.43
_cell_angle_gamma 48.54
loop_
_atom_site_label
_atom_site_fract_x
_atom_site_fract_y
_atom_site_fract_z
Na1 0.0000 0.0000 0.0000
Sr1 0.1173 0.6159 0.6205
Sr2 0.2040 0.2040 0.8939
Sr3 0.3841 0.8827 0.3795
Sr4 0.4210 0.4210 0.1622
Sr5 0.5790 0.5790 0.8378
Sr6 0.6159 0.1173 0.6205
Sr7 0.7960 0.7960 0.1061
Sr8 0.8827 0.3841 0.3795
Au1 0.2688 0.2688 0.3343
Au2 0.7312 0.7312 0.6657
```

Entry 4:
Sc6Bi3Pb: optimized geometry, PBE.

Values from the calculation:
- symmetry = Cmc2_1 (36)
- calculated formation energy (eV per atom) = -0.4191

The structure in CIF format:
```
data_Sc6Bi3Pb
_chemical_formula_sum 'Sc12 Bi6 Pb2'
_space_group_name_H-M_alt 'P 1'
_space_group_IT_number 1
_space_group_name_Hall 'P 1'
_cell_length_a 8.3390
_cell_length_b 8.3390
_cell_length_c 7.6209
_cell_angle_alpha 90.00
_cell_angle_beta 90.00
_cell_angle_gamma 93.16
loop_
_atom_site_label
_atom_site_fract_x
_atom_site_fract_y
_atom_site_fract_z
Sc1 0.0533 0.4407 0.3525
Sc2 0.0613 0.9387 0.5000
Sc3 0.2139 0.7861 0.0982
Sc4 0.2834 0.4306 0.9956
Sc5 0.4306 0.2834 0.4956
Sc6 0.4407 0.0533 0.8525
Sc7 0.5593 0.9467 0.3525
Sc8 0.5694 0.7166 0.9956
Sc9 0.7166 0.5694 0.4956
Sc10 0.7861 0.2139 0.5982
Sc11 0.9387 0.0613 0.0000
Sc12 0.9467 0.5593 0.8525
Bi1 0.1267 0.2514 0.7018
Bi2 0.2514 0.1267 0.2018
Bi3 0.3983 0.6017 0.3316
Bi4 0.6017 0.3983 0.8316
Bi5 0.7486 0.8733 0.7018
Bi6 0.8733 0.7486 0.2018
Pb1 0.2588 0.7412 0.7288
Pb2 0.7412 0.2588 0.2288
```

Number 1: density of states at the Fermi level 6.77 states/eV/cell, uncorrected energy -0.2435 Ha/atom. Number 2: density of states at the Fermi level 2.01 states/eV/cell, uncorrected energy -0.2465 Ha/atom. Number 3: density of states at the Fermi level 8.48 states/eV/cell, uncorrected energy -0.0811 Ha/atom. Number 4: density of states at the Fermi level 14.32 states/eV/cell, uncorrected energy -0.2114 Ha/atom.